Record 1
A plane-wave DFT calculation with GGA-PBEsol was carried out for crystalline BaCa2P at its relaxed geometry.

Cell and atoms, written as POSCAR:
```
BaCa2P
1.0
3.200 -6.126 0.000
3.200 6.126 0.000
0.000 0.000 4.127
Ba Ca P
1 2 1
Direct
0.000 0.000 0.000 Ba
0.346 0.654 0.500 Ca
0.654 0.346 0.500 Ca
0.500 0.500 0.000 P
```

Summary:
DOS(E_F) = 0.780 states/eV/atom
ΔE_f = -0.5708 eV/atom
Space group = No. 65


Record 2
A plane-wave DFT calculation with GGA-PBEsol was carried out for crystalline Ba3CaP at its relaxed geometry.

Cell and atoms, written as POSCAR:
```
Ba3CaP
1.0
6.072 0.000 0.000
0.000 6.072 0.000
0.000 0.000 6.072
Ba Ca P
3 1 1
Direct
0.000 0.000 0.500 Ba
0.000 0.500 0.000 Ba
0.500 0.000 0.000 Ba
0.000 0.000 0.000 Ca
0.500 0.500 0.500 P
```

Summary:
DOS(E_F) = 1.264 states/eV/atom
ΔE_f = 0.7865 eV/atom
Space group = No. 221


Record 3
A plane-wave DFT calculation with GGA-PBEsol was carried out for crystalline BaCa2P at its relaxed geometry.

Cell and atoms, written as POSCAR:
```
BaCa2P
1.0
4.139 0.000 0.000
0.000 2.525 6.909
0.000 -2.525 6.909
Ba Ca P
1 2 1
Direct
0.000 0.000 0.000 Ba
0.000 0.687 0.687 Ca
0.500 0.339 0.339 Ca
0.500 0.545 0.545 P
```

Summary:
DOS(E_F) = 0.882 states/eV/atom
ΔE_f = -0.5678 eV/atom
Space group = No. 38


Record 4
A plane-wave DFT calculation with GGA-PBEsol was carried out for crystalline BaCa2P2 at its relaxed geometry.

Cell and atoms, written as POSCAR:
```
BaCa2P2
1.0
-2.315 2.315 6.747
2.315 -2.315 6.747
2.315 2.315 -6.747
Ba Ca P
1 2 2
Direct
0.000 0.000 0.000 Ba
0.250 0.750 0.500 Ca
0.750 0.250 0.500 Ca
0.369 0.369 0.000 P
0.631 0.631 0.000 P
```

Summary:
DOS(E_F) = 0.006 states/eV/atom
ΔE_f = -0.9400 eV/atom
Space group = No. 139


Record 5
A plane-wave DFT calculation with GGA-PBEsol was carried out for crystalline BaCa2P at its relaxed geometry.

Cell and atoms, written as POSCAR:
```
BaCa2P
1.0
-1.897 2.829 6.354
1.897 -2.829 6.354
1.897 2.829 -6.354
Ba Ca P
1 2 1
Direct
0.000 0.000 0.000 Ba
0.332 0.832 0.500 Ca
0.668 0.168 0.500 Ca
0.500 0.500 0.000 P
```

Summary:
DOS(E_F) = 0.624 states/eV/atom
ΔE_f = -0.5916 eV/atom
Space group = No. 71


Record 6
A plane-wave DFT calculation with GGA-PBEsol was carried out for crystalline BaCa2P at its relaxed geometry.

Cell and atoms, written as POSCAR:
```
BaCa2P
1.0
2.107 1.216 10.281
-2.107 1.216 10.281
0.000 -2.432 10.281
Ba Ca P
1 2 1
Direct
0.000 0.000 0.000 Ba
0.213 0.213 0.213 Ca
0.787 0.787 0.787 Ca
0.500 0.500 0.500 P
```

Summary:
DOS(E_F) = 0.814 states/eV/atom
ΔE_f = -0.6002 eV/atom
Space group = No. 166


Record 7
A plane-wave DFT calculation with GGA-PBEsol was carried out for crystalline BaSr2CaP at its relaxed geometry.

Cell and atoms, written as POSCAR:
```
BaSr2CaP
1.0
5.952 0.000 0.000
0.000 5.952 0.000
0.000 0.000 6.310
Ba Sr Ca P
1 2 1 1
Direct
0.000 0.000 0.000 Ba
0.000 0.500 0.500 Sr
0.500 0.000 0.500 Sr
0.500 0.500 0.000 Ca
0.000 0.000 0.500 P
```

Summary:
DOS(E_F) = 1.143 states/eV/atom
ΔE_f = -0.4223 eV/atom
Space group = No. 123


Record 8
A plane-wave DFT calculation with GGA-PBEsol was carried out for crystalline Ba2CaPb at its relaxed geometry.

Cell and atoms, written as POSCAR:
```
Ba2CaPb
1.0
4.283 0.000 0.000
0.000 5.441 0.000
-2.128 0.000 7.248
Ba Ca Pb
2 1 1
Direct
0.000 0.000 0.000 Ba
0.329 0.500 0.656 Ba
0.615 0.500 0.231 Ca
0.739 0.000 0.472 Pb
```

Summary:
DOS(E_F) = 0.638 states/eV/atom
ΔE_f = -0.2830 eV/atom
Space group = No. 6


Record 9
A plane-wave DFT calculation with GGA-PBEsol was carried out for crystalline BaCa2Pb at its relaxed geometry.

Cell and atoms, written as POSCAR:
```
BaCa2Pb
1.0
1.963 1.133 11.667
-1.963 1.133 11.667
0.000 -2.266 11.667
Ba Ca Pb
1 2 1
Direct
0.000 0.000 0.000 Ba
0.234 0.234 0.234 Ca
0.766 0.766 0.766 Ca
0.500 0.500 0.500 Pb
```

Summary:
DOS(E_F) = 0.816 states/eV/atom
ΔE_f = -0.1709 eV/atom
Space group = No. 166


Record 10
A plane-wave DFT calculation with GGA-PBEsol was carried out for crystalline Ba2CaPb at its relaxed geometry.

Cell and atoms, written as POSCAR:
```
Ba2CaPb
1.0
5.431 0.000 0.000
0.000 5.431 0.000
0.000 0.000 5.289
Ba Ca Pb
2 1 1
Direct
0.000 0.500 0.000 Ba
0.500 0.000 0.000 Ba
0.000 0.000 0.500 Ca
0.500 0.500 0.500 Pb
```

Summary:
DOS(E_F) = 0.549 states/eV/atom
ΔE_f = -0.3291 eV/atom
Space group = No. 123


Record 11
A plane-wave DFT calculation with GGA-PBEsol was carried out for crystalline Ba2CaPb2 at its relaxed geometry.

Cell and atoms, written as POSCAR:
```
Ba2CaPb2
1.0
8.627 0.000 0.000
0.000 8.627 0.000
0.000 0.000 5.218
Ba Ca Pb
4 2 4
Direct
0.163 0.337 0.000 Ba
0.337 0.837 0.000 Ba
0.663 0.163 0.000 Ba
0.837 0.663 0.000 Ba
0.000 0.000 0.500 Ca
0.500 0.500 0.500 Ca
0.131 0.631 0.500 Pb
0.369 0.131 0.500 Pb
0.631 0.869 0.500 Pb
0.869 0.369 0.500 Pb
```

Summary:
DOS(E_F) = 0.817 states/eV/atom
ΔE_f = -0.5242 eV/atom
Space group = No. 127


Record 12
A plane-wave DFT calculation with GGA-PBEsol was carried out for crystalline Ba2Ca2Pb at its relaxed geometry.

Cell and atoms, written as POSCAR:
```
Ba2Ca2Pb
1.0
-2.311 2.311 9.847
2.311 -2.311 9.847
2.311 2.311 -9.847
Ba Ca Pb
2 2 1
Direct
0.250 0.750 0.500 Ba
0.750 0.250 0.500 Ba
0.083 0.083 0.000 Ca
0.917 0.917 0.000 Ca
0.500 0.500 0.000 Pb
```

Summary:
DOS(E_F) = 1.178 states/eV/atom
ΔE_f = 0.2448 eV/atom
Space group = No. 139


Record 13
A plane-wave DFT calculation with GGA-PBEsol was carried out for crystalline BaCa2Pb2 at its relaxed geometry.

Cell and atoms, written as POSCAR:
```
BaCa2Pb2
1.0
-2.571 2.571 6.871
2.571 -2.571 6.871
2.571 2.571 -6.871
Ba Ca Pb
1 2 2
Direct
0.000 0.000 0.000 Ba
0.250 0.750 0.500 Ca
0.750 0.250 0.500 Ca
0.391 0.391 0.000 Pb
0.609 0.609 0.000 Pb
```

Summary:
Distance to the lowest polymorph of the same formula = 5.9 kJ/mol of atoms
DOS(E_F) = 0.869 states/eV/atom
ΔE_f = -0.4894 eV/atom
Space group = No. 139


Record 14
A plane-wave DFT calculation with GGA-PBEsol was carried out for crystalline BaCaPb4 at its relaxed geometry.

Cell and atoms, written as POSCAR:
```
BaCaPb4
1.0
0.000 4.609 4.609
4.609 0.000 4.609
4.609 4.609 0.000
Ba Ca Pb
1 1 4
Direct
0.000 0.000 0.000 Ba
0.750 0.750 0.750 Ca
0.375 0.375 0.375 Pb
0.375 0.375 0.875 Pb
0.375 0.875 0.375 Pb
0.875 0.375 0.375 Pb
```

Summary:
DOS(E_F) = 0.154 states/eV/atom
ΔE_f = -0.3904 eV/atom
Space group = No. 216


Record 15
A plane-wave DFT calculation with GGA-PBEsol was carried out for crystalline BaCa2Pb2 at its relaxed geometry.

Cell and atoms, written as POSCAR:
```
BaCa2Pb2
1.0
9.495 0.000 0.000
0.000 9.495 0.000
0.000 0.000 3.544
Ba Ca Pb
2 4 4
Direct
0.000 0.000 0.000 Ba
0.500 0.500 0.000 Ba
0.124 0.376 0.000 Ca
0.376 0.876 0.000 Ca
0.624 0.124 0.000 Ca
0.876 0.624 0.000 Ca
0.174 0.674 0.500 Pb
0.326 0.174 0.500 Pb
0.674 0.826 0.500 Pb
0.826 0.326 0.500 Pb
```

Summary:
Distance to the lowest polymorph of the same formula = 0.0 kJ/mol of atoms
DOS(E_F) = 0.494 states/eV/atom
ΔE_f = -0.5504 eV/atom
Space group = No. 127


Record 16
A plane-wave DFT calculation with GGA-PBEsol was carried out for crystalline Ba2CaPd2 at its relaxed geometry.

Cell and atoms, written as POSCAR:
```
Ba2CaPd2
1.0
8.101 0.000 0.000
0.000 8.101 0.000
0.000 0.000 4.581
Ba Ca Pd
4 2 4
Direct
0.165 0.335 0.000 Ba
0.335 0.835 0.000 Ba
0.665 0.165 0.000 Ba
0.835 0.665 0.000 Ba
0.000 0.000 0.500 Ca
0.500 0.500 0.500 Ca
0.126 0.626 0.500 Pd
0.374 0.126 0.500 Pd
0.626 0.874 0.500 Pd
0.874 0.374 0.500 Pd
```

Summary:
DOS(E_F) = 0.406 states/eV/atom
ΔE_f = -0.4155 eV/atom
Space group = No. 127


Record 17
A plane-wave DFT calculation with GGA-PBEsol was carried out for crystalline BaCaPdW2 at its relaxed geometry.

Cell and atoms, written as POSCAR:
```
BaCaPdW2
1.0
4.729 0.000 0.000
0.000 4.729 0.000
0.000 0.000 5.562
Ba Ca Pd W
1 1 1 2
Direct
0.000 0.000 0.000 Ba
0.000 0.000 0.500 Ca
0.500 0.500 0.000 Pd
0.000 0.500 0.500 W
0.500 0.000 0.500 W
```

Summary:
DOS(E_F) = 1.133 states/eV/atom
ΔE_f = 2.6687 eV/atom
Space group = No. 123


Record 18
A plane-wave DFT calculation with GGA-PBEsol was carried out for crystalline Ba2CaPt2 at its relaxed geometry.

Cell and atoms, written as POSCAR:
```
Ba2CaPt2
1.0
8.000 0.000 0.000
0.000 8.000 0.000
0.000 0.000 4.552
Ba Ca Pt
4 2 4
Direct
0.166 0.334 0.000 Ba
0.334 0.834 0.000 Ba
0.666 0.166 0.000 Ba
0.834 0.666 0.000 Ba
0.000 0.000 0.500 Ca
0.500 0.500 0.500 Ca
0.129 0.629 0.500 Pt
0.371 0.129 0.500 Pt
0.629 0.871 0.500 Pt
0.871 0.371 0.500 Pt
```

Summary:
DOS(E_F) = 0.368 states/eV/atom
ΔE_f = -0.5887 eV/atom
Space group = No. 127


Record 19
A plane-wave DFT calculation with GGA-PBEsol was carried out for crystalline BaCaPt3 at its relaxed geometry.

Cell and atoms, written as POSCAR:
```
BaCaPt3
1.0
5.065 0.000 0.000
0.000 5.065 0.000
0.000 0.000 5.065
Ba Ca Pt
1 1 3
Direct
0.000 0.000 0.000 Ba
0.500 0.500 0.500 Ca
0.000 0.500 0.500 Pt
0.500 0.000 0.500 Pt
0.500 0.500 0.000 Pt
```

Summary:
DOS(E_F) = 0.737 states/eV/atom
ΔE_f = 0.3563 eV/atom
Space group = No. 221


Record 20
A plane-wave DFT calculation with GGA-PBEsol was carried out for crystalline RbBaCa3 at its relaxed geometry.

Cell and atoms, written as POSCAR:
```
RbBaCa3
1.0
6.672 0.000 0.000
0.000 6.672 0.000
0.000 0.000 6.672
Rb Ba Ca
1 1 3
Direct
0.000 0.000 0.000 Rb
0.500 0.500 0.500 Ba
0.000 0.500 0.500 Ca
0.500 0.000 0.500 Ca
0.500 0.500 0.000 Ca
```

Summary:
DOS(E_F) = 0.625 states/eV/atom
ΔE_f = 0.6633 eV/atom
Space group = No. 221


Record 21
A plane-wave DFT calculation with GGA-PBEsol was carried out for crystalline BaCaRh4 at its relaxed geometry.

Cell and atoms, written as POSCAR:
```
BaCaRh4
1.0
0.000 3.811 3.811
3.811 0.000 3.811
3.811 3.811 0.000
Ba Ca Rh
1 1 4
Direct
0.000 0.000 0.000 Ba
0.250 0.250 0.250 Ca
0.127 0.624 0.624 Rh
0.624 0.127 0.624 Rh
0.624 0.624 0.127 Rh
0.624 0.624 0.624 Rh
```

Summary:
DOS(E_F) = 1.273 states/eV/atom
ΔE_f = -0.1426 eV/atom
Space group = No. 216


Record 22
A plane-wave DFT calculation with GGA-PBEsol was carried out for crystalline BaCaRh at its relaxed geometry.

Cell and atoms, written as POSCAR:
```
BaCaRh
1.0
0.000 3.486 3.486
3.486 0.000 3.486
3.486 3.486 0.000
Ba Ca Rh
1 1 1
Direct
0.000 0.000 0.000 Ba
0.750 0.750 0.750 Ca
0.500 0.500 0.500 Rh
```

Summary:
DOS(E_F) = 0.915 states/eV/atom
ΔE_f = 0.4493 eV/atom
Space group = No. 216


Record 23
A plane-wave DFT calculation with GGA-PBEsol was carried out for crystalline BaCa2Rh at its relaxed geometry.

Cell and atoms, written as POSCAR:
```
BaCa2Rh
1.0
3.524 0.000 0.000
0.000 3.524 0.000
0.000 0.000 10.113
Ba Ca Rh
1 2 1
Direct
0.000 0.000 0.000 Ba
0.500 0.500 0.341 Ca
0.500 0.500 0.659 Ca
0.000 0.000 0.500 Rh
```

Summary:
DOS(E_F) = 1.051 states/eV/atom
ΔE_f = -0.1070 eV/atom
Space group = No. 123


Record 24
A plane-wave DFT calculation with GGA-PBEsol was carried out for crystalline BaCaSb at its relaxed geometry.

Cell and atoms, written as POSCAR:
```
BaCaSb
1.0
0.000 3.764 3.764
3.764 0.000 3.764
3.764 3.764 0.000
Ba Ca Sb
1 1 1
Direct
0.000 0.000 0.000 Ba
0.750 0.750 0.750 Ca
0.500 0.500 0.500 Sb
```

Summary:
DOS(E_F) = 0.742 states/eV/atom
Space group = No. 216
Uncorrected energy = -3.388 eV/atom


Record 25
A plane-wave DFT calculation with GGA-PBEsol was carried out for crystalline BaCa3Sb at its relaxed geometry.

Cell and atoms, written as POSCAR:
```
BaCa3Sb
1.0
5.633 0.000 0.000
0.000 5.633 0.000
0.000 0.000 5.633
Ba Ca Sb
1 3 1
Direct
0.000 0.000 0.000 Ba
0.000 0.000 0.500 Ca
0.000 0.500 0.000 Ca
0.500 0.000 0.000 Ca
0.500 0.500 0.500 Sb
```

Summary:
Distance to the lowest polymorph of the same formula = 111.8 kJ/mol of atoms
DOS(E_F) = 1.571 states/eV/atom
Space group = No. 221


Record 26
A plane-wave DFT calculation with GGA-PBEsol was carried out for crystalline BaCaSb2 at its relaxed geometry.

Cell and atoms, written as POSCAR:
```
BaCaSb2
1.0
3.596 0.000 0.000
0.000 5.706 0.000
0.000 0.000 6.689
Ba Ca Sb
1 1 2
Direct
0.000 0.000 0.000 Ba
0.500 0.500 0.500 Ca
0.000 0.000 0.500 Sb
0.500 0.500 0.000 Sb
```

Summary:
Distance to the lowest polymorph of the same formula = 16.0 kJ/mol of atoms
DOS(E_F) = 0.472 states/eV/atom
Space group = No. 47


Record 27
A plane-wave DFT calculation with GGA-PBEsol was carried out for crystalline BaCa2Sb at its relaxed geometry.

Cell and atoms, written as POSCAR:
```
BaCa2Sb
1.0
2.332 1.346 9.888
-2.332 1.346 9.888
0.000 -2.692 9.888
Ba Ca Sb
1 2 1
Direct
0.000 0.000 0.000 Ba
0.217 0.217 0.217 Ca
0.450 0.450 0.450 Ca
0.735 0.735 0.735 Sb
```

Summary:
DOS(E_F) = 0.979 states/eV/atom
Space group = No. 160
Uncorrected energy = -3.140 eV/atom


Record 28
A plane-wave DFT calculation with GGA-PBEsol was carried out for crystalline BaCa2Sb at its relaxed geometry.

Cell and atoms, written as POSCAR:
```
BaCa2Sb
1.0
5.132 0.000 0.000
0.000 5.132 0.000
0.000 0.000 5.171
Ba Ca Sb
1 2 1
Direct
0.000 0.000 0.000 Ba
0.000 0.500 0.500 Ca
0.500 0.000 0.500 Ca
0.500 0.500 0.000 Sb
```

Summary:
DOS(E_F) = 0.592 states/eV/atom
Space group = No. 123
Uncorrected energy = -3.264 eV/atom


Record 29
A plane-wave DFT calculation with GGA-PBEsol was carried out for crystalline BaCa2Sb2 at its relaxed geometry.

Cell and atoms, written as POSCAR:
```
BaCa2Sb2
1.0
-2.481 2.481 7.150
2.481 -2.481 7.150
2.481 2.481 -7.150
Ba Ca Sb
1 2 2
Direct
0.000 0.000 0.000 Ba
0.250 0.750 0.500 Ca
0.750 0.250 0.500 Ca
0.380 0.380 0.000 Sb
0.620 0.620 0.000 Sb
```

Summary:
DOS(E_F) = 0.103 states/eV/atom
Space group = No. 139
Uncorrected energy = -4.035 eV/atom